Pm4Pr2Tm5 after structural relaxation, computed with PBE.

POSCAR file:
```
Pm4Pr2Tm5
1.0
3.468 0.000 0.000
0.000 8.709 1.050
-1.734 -0.087 12.039
Pm Pr Tm
4 2 5
Direct
0.680 0.528 0.359 Pm
0.046 0.643 0.093 Pm
0.320 0.472 0.641 Pm
0.954 0.357 0.907 Pm
0.910 0.744 0.820 Pr
0.090 0.256 0.180 Pr
0.143 0.882 0.286 Tm
0.857 0.118 0.714 Tm
0.233 0.170 0.466 Tm
0.500 0.000 0.000 Tm
0.767 0.830 0.534 Tm
```

Properties
The density of states at the Fermi level comes out at 20.4 states/eV per cell. The value obtained for the relative energy among the computed polymorphs is 96 meV per atom. For the calculated formation energy, the calculation gives 3.423 kcal/mol of atoms. The space group is C2/m, No. 12. For the total energy, the calculation gives -4.481 eV per atom.